VASP calculation (PBE) on TmTh2Ru after structural relaxation.

Cell lengths 3.837, 11.636, 9.865 Å; angles 90.00, 90.00, 90.00 degrees
Space group Cmcm (No. 63)
One atom of each set of equivalent atoms:
Tm: 0.000 0.082 0.250 x4
Th: 0.000 0.361 0.064 x8
Ru: 0.000 0.208 0.750 x4

Computed properties:
Mass density (g/cm3): 11.1
Magnetization (μB per atom): 0.000
Formation energy from the elements (eV/atom): -0.295
DFT total energy (eV for the cell shown): -119.07
ΔE to the lowest computed polymorph (eV per atom): 0.009